NdCoP: optimized geometry, PBE.

Computed properties:
The total magnetization comes out at 0.0 μB/cell. The total energy is -0.4896 Ry per atom.

a = 3.874 Å, b = 3.874 Å, c = 7.612 Å
α = 90.00°, β = 90.00°, γ = 90.00°
Space group P4/nmm (No. 129, origin choice 2)
Inequivalent atoms, fractional coordinates:
Nd1 0.250 0.250 0.200 (multiplicity 2)
Co1 0.250 0.750 0.500 (multiplicity 2)
P1 0.250 0.250 0.658 (multiplicity 2)